Na4Al3FeO8 | the Alexandria database | PBE+U | optimized geometry; symmetry = P1; calculated total energy = -99.1 eV/cell; size of the total moment = 5.0 μB/f.u.
1.0
5.3268 0.0000 0.0000
-0.0043 5.5419 0.0000
-0.0092 -0.0023 7.1072
Na Al Fe O
4 3 1 8
direct
0.0000 0.0000 0.0000 Na
0.0023 0.5091 0.7393 Na
0.4946 0.1525 0.2391 Na
0.4989 0.6468 0.4881 Na
0.4864 0.6375 0.9953 Al
0.9814 0.0113 0.4861 Al
0.9867 0.5119 0.2428 Al
0.4830 0.1385 0.7432 Fe
0.0567 0.7025 0.4395 O
0.0593 0.2034 0.2931 O
0.1326 0.1054 0.6972 O
0.1598 0.6041 0.0417 O
0.5578 0.4710 0.7867 O
0.5579 0.9488 0.9592 O
0.6518 0.0339 0.5244 O
0.6603 0.5352 0.1926 O